DFT (PBE) results for BaSb2As2 after structural relaxation.

Unit cell a=5.4667 b=5.4667 c=10.4880 alpha=90.00 beta=90.00 gamma=90.00
Closest atoms and distances in Å follow each position.
Space group I4/mmm (No. 139)
Unique sites:
Ba1 0.0000 0.0000 0.0000 [2 per cell]  2 Sb 3.52, 8 As 3.79
Sb1 0.0000 0.0000 0.3356 [4 per cell]  4 As 2.88
As1 0.0000 0.5000 0.2500 [4 per cell]  4 Sb 2.88

**Formation energy from raw total energies**: -0.35 eV/atom
**Total energy**: -4.248 eV per atom
**Magnetization**: 0.00 μB per formula unit
**Calculated density**: 5.62 g/cm3
**E above lowest polymorph**: 0.000 eV per formula unit